Y2AgAu2 after structural relaxation. Source: OQMD, functional PBE.

Cell and atoms, written as CIF:
```
data_Y2AgAu2
_chemical_formula_sum 'Y4 Ag2 Au4'
_space_group_name_H-M_alt 'P 1'
_space_group_IT_number 1
_cell_length_a 7.855
_cell_length_b 7.855
_cell_length_c 3.783
_cell_angle_alpha 90.00
_cell_angle_beta 90.00
_cell_angle_gamma 90.00
loop_
_space_group_symop_operation_xyz
'x,y,z'
loop_
_atom_site_label
_atom_site_fract_x
_atom_site_fract_y
_atom_site_fract_z
Ag1 0.000 0.000 0.000
Ag2 0.500 0.500 0.000
Au1 0.631 0.131 0.000
Au2 0.131 0.369 0.000
Au3 0.869 0.631 0.000
Au4 0.369 0.869 0.000
Y1 0.331 0.169 0.500
Y2 0.831 0.331 0.500
Y3 0.169 0.669 0.500
Y4 0.669 0.831 0.500
```

Properties
Distance to the lowest polymorph of the same formula in meV/atom: 0.0
E_tot in eV per cell: -51.6
Energy of formation from the pure elements in eV/atom: -0.70